1.
A plane-wave DFT calculation with PBE was carried out for crystalline Na2AcGe at its relaxed geometry.

```
Na2AcGe
1.0
1.783 1.029 12.136
-1.783 1.029 12.136
0.000 -2.058 12.136
Na Ac Ge
2 1 1
Direct
0.101 0.101 0.101
0.899 0.899 0.899
0.000 0.000 0.000
0.500 0.500 0.500
```

---

2.
A plane-wave DFT calculation with PBE was carried out for crystalline NaAcGe at its relaxed geometry.

```
NaAcGe
1.0
0.000 3.685 3.685
3.685 0.000 3.685
3.685 3.685 0.000
Na Ac Ge
1 1 1
Direct
0.000 0.000 0.000
0.500 0.500 0.500
0.750 0.750 0.750
```

---

3.
A plane-wave DFT calculation with PBE was carried out for crystalline NaAc6Ge3 at its relaxed geometry.

```
NaAc6Ge3
1.0
8.278 0.000 0.000
0.000 8.381 0.000
-7.141 0.000 10.707
Na Ac Ge
2 12 6
Direct
0.000 0.000 0.000
0.000 0.500 0.500
0.120 0.162 0.426
0.120 0.338 0.926
0.279 0.676 0.416
0.279 0.824 0.916
0.496 0.100 0.269
0.496 0.400 0.769
0.504 0.600 0.231
0.504 0.900 0.731
0.721 0.176 0.084
0.721 0.324 0.584
0.880 0.662 0.074
0.880 0.838 0.574
0.160 0.137 0.713
0.160 0.363 0.213
0.500 0.000 0.500
0.500 0.500 0.000
0.840 0.637 0.787
0.840 0.863 0.287
```

---

4.
A plane-wave DFT calculation with PBE was carried out for crystalline NaAc4Ge4 at its relaxed geometry.

```
NaAc4Ge4
1.0
9.204 0.000 0.000
0.000 9.204 0.000
0.000 0.000 6.575
Na Ac Ge
2 8 8
Direct
0.250 0.250 0.250
0.750 0.750 0.750
0.045 0.672 0.102
0.172 0.955 0.602
0.328 0.545 0.602
0.455 0.828 0.102
0.545 0.172 0.898
0.672 0.455 0.398
0.828 0.045 0.398
0.955 0.328 0.898
0.001 0.372 0.413
0.128 0.001 0.087
0.372 0.499 0.087
0.499 0.128 0.413
0.501 0.872 0.587
0.628 0.501 0.913
0.872 0.999 0.913
0.999 0.628 0.587
```

---

5.
A plane-wave DFT calculation with PBE was carried out for crystalline NaAc12Ge6 at its relaxed geometry.

```
NaAc12Ge6
1.0
7.900 4.561 3.427
-7.900 4.561 3.427
0.000 -9.122 3.427
Na Ac Ge
1 12 6
Direct
0.000 0.000 0.000
0.011 0.841 0.310
0.159 0.690 0.989
0.165 0.404 0.483
0.310 0.011 0.841
0.404 0.483 0.165
0.483 0.165 0.404
0.517 0.835 0.596
0.596 0.517 0.835
0.690 0.989 0.159
0.835 0.596 0.517
0.841 0.310 0.011
0.989 0.159 0.690
0.169 0.607 0.290
0.290 0.169 0.607
0.393 0.710 0.831
0.607 0.290 0.169
0.710 0.831 0.393
0.831 0.393 0.710
```

---

6.
A plane-wave DFT calculation with PBE was carried out for crystalline NaAcGe3 at its relaxed geometry.

```
NaAcGe3
1.0
2.287 -13.623 0.000
2.287 13.623 0.000
0.000 0.000 4.159
Na Ac Ge
2 2 6
Direct
0.207 0.793 0.750
0.793 0.207 0.250
0.075 0.925 0.250
0.925 0.075 0.750
0.321 0.679 0.750
0.374 0.626 0.250
0.472 0.528 0.250
0.528 0.472 0.750
0.626 0.374 0.750
0.679 0.321 0.250
```

---

7.
A plane-wave DFT calculation with PBE was carried out for crystalline NaAc6Ge5 at its relaxed geometry.

```
NaAc6Ge5
1.0
4.113 -7.085 0.000
4.113 7.085 0.000
-2.697 0.000 7.326
Na Ac Ge
1 6 5
Direct
0.000 0.000 0.000
0.090 0.454 0.268
0.276 0.276 0.742
0.454 0.090 0.268
0.546 0.910 0.732
0.724 0.724 0.258
0.910 0.546 0.732
0.150 0.850 0.500
0.329 0.671 0.000
0.500 0.500 0.500
0.671 0.329 0.000
0.850 0.150 0.500
```

---

8.
A plane-wave DFT calculation with PBE was carried out for crystalline NaAc2Ge2 at its relaxed geometry.

```
NaAc2Ge2
1.0
8.190 0.000 0.000
0.000 8.190 0.000
0.000 0.000 4.531
Na Ac Ge
2 4 4
Direct
0.000 0.000 0.000
0.500 0.500 0.000
0.181 0.319 0.500
0.319 0.819 0.500
0.681 0.181 0.500
0.819 0.681 0.500
0.113 0.613 0.000
0.387 0.113 0.000
0.613 0.887 0.000
0.887 0.387 0.000
```

---

no.,ΔH_f (0 K) (eV per atom)
1,0.321
2,-0.389
3,-0.279
4,-0.477
5,-0.309
6,-0.401
7,-0.446
8,-0.562